Computed, not measured: an optimized crystal structure of Li4Mn3SbP4O16 at the PBE+U level of DFT.

The structure in extended XYZ format:
```
28
Lattice="6.313 0.000 0.000 0.000 4.810 0.107 0.000 0.513 11.058" Properties=species:S:1:pos:R:3 pbc="T T T"
O 1.240 3.573 1.903
P 3.156 0.472 4.343
P 3.156 2.583 10.296
Li 1.523 2.481 5.402
O 0.000 1.424 1.170
O 1.910 1.126 3.660
Li 4.790 2.481 5.402
O 0.000 4.097 10.779
O 1.858 2.052 9.593
Mn 3.156 2.632 2.401
O 3.156 1.023 5.816
P 0.000 4.645 6.458
O 4.455 2.052 9.593
O 5.072 3.573 1.903
Sb 3.156 4.886 7.936
O 5.119 4.051 7.301
Li 1.630 0.084 0.109
Mn 0.000 0.234 3.047
O 1.193 4.051 7.301
O 3.156 1.400 0.657
Li 4.683 0.084 0.109
O 3.156 4.128 10.423
O 4.403 1.126 3.660
P 0.000 2.959 1.155
O 3.156 3.744 4.407
O 0.000 1.356 6.274
Mn 0.000 2.934 8.987
O 0.000 3.947 5.069
```

Calculated values
DFT total energy	-6.917	eV/atom